Material: Ni2MoPd8
Method: DFT, PBE
State: optimized geometry

Properties
- ρ (g/cm³) = 9.50
- size of the total moment (μB/f.u.) = 0.00
- ΔH_f (0 K) (kJ/mol of formula units) = 317
- space group = C2/m
- DOS at the Fermi energy (states/eV per atom) = 1.116

a b c (Å): 4.423 6.623 6.623
angles (deg): 82.41 79.00 79.00
Element x y z (fractional)
Ni: 0.467 0.131 0.131
Ni: 0.533 0.869 0.869
Mo: 0.000 0.000 0.000
Pd: 0.799 0.161 0.663
Pd: 0.201 0.337 0.839
Pd: 0.892 0.260 0.260
Pd: 0.108 0.740 0.740
Pd: 0.799 0.663 0.161
Pd: 0.201 0.839 0.337
Pd: 0.301 0.414 0.414
Pd: 0.699 0.586 0.586

=====

Material: ZnCr2Mo2
Method: DFT, PBE
State: optimized geometry

Properties
- ρ (g/cm³) = 7.41
- size of the total moment (μB/f.u.) = 0.27
- ΔH_f (0 K) (kJ/mol of formula units) = 353
- space group = I4/mmm
- DOS at the Fermi energy (states/eV per atom) = 1.117

a b c (Å): 4.070 4.070 5.670
angles (deg): 68.97 68.97 90.00
Site moments in Bohr magnetons follow the coordinates.
Element x y z (fractional)
Cr: 0.386 0.386 0.228  0.13
Cr: 0.614 0.614 0.772  0.13
Mo: 0.750 0.250 0.500  -0.01
Mo: 0.250 0.750 0.500  -0.01
Zn: 0.000 0.000 0.000  0.00

=====

Material: BaNi10P6
Method: DFT, PBE
State: optimized geometry

Properties
- ρ (g/cm³) = 6.57
- size of the total moment (μB/f.u.) = 0.00
- ΔH_f (0 K) (kJ/mol of formula units) = -1041
- space group = Cmce
- DOS at the Fermi energy (states/eV per atom) = 0.558

a b c (Å): 8.766 8.766 8.795
angles (deg): 90.00 90.00 137.08
Element x y z (fractional)
Ba: 0.000 0.000 0.500
Ba: 0.500 0.500 0.000
Ni: 0.210 0.790 0.293
Ni: 0.290 0.710 0.793
Ni: 0.911 0.589 0.750
Ni: 0.710 0.290 0.207
Ni: 0.089 0.411 0.250
Ni: 0.411 0.089 0.750
Ni: 0.954 0.046 0.882
Ni: 0.046 0.954 0.118
Ni: 0.546 0.454 0.382
Ni: 0.454 0.546 0.618
Ni: 0.476 0.126 0.472
Ni: 0.126 0.476 0.528
Ni: 0.024 0.374 0.972
Ni: 0.374 0.024 0.028
Ni: 0.524 0.874 0.528
Ni: 0.874 0.524 0.472
Ni: 0.976 0.626 0.028
Ni: 0.626 0.976 0.972
Ni: 0.589 0.911 0.250
Ni: 0.790 0.210 0.707
P: 0.140 0.360 0.750
P: 0.360 0.140 0.250
P: 0.411 0.589 0.373
P: 0.589 0.411 0.627
P: 0.089 0.911 0.873
P: 0.911 0.089 0.127
P: 0.291 0.709 0.075
P: 0.709 0.291 0.925
P: 0.209 0.791 0.575
P: 0.791 0.209 0.425
P: 0.860 0.640 0.250
P: 0.640 0.860 0.750

=====

Material: DyY3Al
Method: DFT, PBE
State: optimized geometry

Properties
- ρ (g/cm³) = 5.22
- size of the total moment (μB/f.u.) = 0.00
- ΔH_f (0 K) (kJ/mol of formula units) = -71
- space group = P-1
- DOS at the Fermi energy (states/eV per atom) = 1.239

a b c (Å): 3.646 8.597 9.741
angles (deg): 104.32 100.78 89.98
Element x y z (fractional)
Dy: 0.813 0.062 0.885
Dy: 0.017 0.163 0.291
Y: 0.613 0.924 0.483
Y: 0.218 0.301 0.693
Y: 0.414 0.393 0.086
Y: 0.232 0.727 0.721
Y: 0.416 0.831 0.090
Y: 0.599 0.498 0.455
Al: 0.009 0.668 0.275
Al: 0.822 0.556 0.901